Run P
Here is a geometry-optimized LaTaOs structure from Alexandria via LeMat-Bulk. Energies are from PBE.

Computed properties:
ρ   11.896 g/cm3
M_tot   0.0 μB per formula unit
Density of states at the Fermi level   7.28 states/eV/cell

Unit cell a=4.5130 b=4.5130 c=6.9914 alpha=90.00 beta=90.00 gamma=90.00
With the nearest neighbours (Å) after each atom.
Atoms (fractional coordinates):
La (0.2500, 0.2500, 0.1411)  5 Os 3.16-3.41, 4 Ta 3.37
La (0.7500, 0.7500, 0.8589)  5 Os 3.16-3.41, 4 Ta 3.37
Ta (0.2500, 0.7500, 0.5000)  4 Os 2.61
Ta (0.7500, 0.2500, 0.5000)  4 Os 2.61
Os (0.2500, 0.2500, 0.6887)  4 Ta 2.61
Os (0.7500, 0.7500, 0.3113)  4 Ta 2.61



Run Q
Here is a geometry-optimized LaTaOs structure from Alexandria via LeMat-Bulk. Energies are from PBE.

Computed properties:
ρ   12.211 g/cm3
M_tot   0.0 μB per formula unit
Density of states at the Fermi level   10.82 states/eV/cell

Unit cell a=11.4778 b=4.5357 c=5.3385 alpha=90.00 beta=93.26 gamma=90.00
With the nearest neighbours (Å) after each atom.
Atoms (fractional coordinates):
La (0.0000, 0.0000, 0.0000)  3 Os 3.13-3.46, 3 Ta 3.15-3.44, 2 La 3.49
La (0.0587, 0.5000, 0.4874)  4 Os 3.13-3.47, 2 Ta 3.26-3.31, 2 La 3.49
La (0.5000, 0.5000, 0.0000)  3 Os 3.13-3.46, 3 Ta 3.15-3.44, 2 La 3.49
La (0.5587, 0.0000, 0.4874)  4 Os 3.13-3.47, 2 Ta 3.26-3.31, 2 La 3.49
Ta (0.2257, 0.5000, 0.0139)  3 Os 2.62-2.89, 2 Ta 2.81
Ta (0.2820, 0.0000, 0.7330)  4 Os 2.62-2.67, 2 Ta 2.81
Ta (0.7257, 0.0000, 0.0139)  3 Os 2.62-2.89, 2 Ta 2.81
Ta (0.7820, 0.5000, 0.7330)  4 Os 2.62-2.67, 2 Ta 2.81
Os (0.2837, 0.0000, 0.2331)  4 Ta 2.62-2.67, 2 Os 2.77
Os (0.3316, 0.5000, 0.5181)  3 Ta 2.62-2.89, 2 Os 2.77
Os (0.7837, 0.5000, 0.2331)  4 Ta 2.62-2.67, 2 Os 2.77
Os (0.8316, 0.0000, 0.5181)  3 Ta 2.62-2.89, 2 Os 2.77



Run R
Here is a geometry-optimized LaTaOs structure from Alexandria via LeMat-Bulk. Energies are from PBE.

Computed properties:
ρ   12.871 g/cm3
M_tot   0.0 μB per formula unit
Density of states at the Fermi level   8.60 states/eV/cell

Unit cell a=3.2592 b=3.2592 c=12.3903 alpha=90.00 beta=90.00 gamma=90.00
With the nearest neighbours (Å) after each atom.
Atoms (fractional coordinates):
La (0.0000, 0.0000, 0.0000)  4 La 3.26, 4 Os 3.28, 5 Ta 3.48-3.59
La (0.5000, 0.5000, 0.5000)  4 La 3.26, 4 Os 3.28, 5 Ta 3.48-3.59
Ta (0.0000, 0.0000, 0.2898)  4 Os 2.62
Ta (0.5000, 0.5000, 0.7898)  4 Os 2.62
Os (0.0000, 0.0000, 0.6884)  4 Ta 2.62
Os (0.5000, 0.5000, 0.1884)  4 Ta 2.62



Which of them is least stable? Easy: run R.



Run P
Here is a geometry-optimized LaTb2Os structure from Alexandria via LeMat-Bulk. Energies are from PBE.

Computed properties:
ρ   8.273 g/cm3
M_tot   0.0 μB per formula unit
Density of states at the Fermi level   19.31 states/eV/cell

Unit cell a=3.7483 b=3.7483 c=32.0202 alpha=90.00 beta=90.00 gamma=120.00
With the nearest neighbours (Å) after each atom.
Atoms (fractional coordinates):
La (0.0000, 0.0000, 0.0000)  2 Tb 3.63, 6 La 3.75
La (0.3333, 0.6667, 0.6667)  2 Tb 3.63, 6 La 3.75
La (0.6667, 0.3333, 0.3333)  2 Tb 3.63, 6 La 3.75
Tb (0.0000, 0.0000, 0.1135)  3 Os 2.75
Tb (0.0000, 0.0000, 0.8865)  3 Os 2.75
Tb (0.3333, 0.6667, 0.5532)  3 Os 2.75
Tb (0.3333, 0.6667, 0.7801)  3 Os 2.75
Tb (0.6667, 0.3333, 0.2199)  3 Os 2.75
Tb (0.6667, 0.3333, 0.4468)  3 Os 2.75
Os (0.0000, 0.0000, 0.5000)  6 Tb 2.75
Os (0.3333, 0.6667, 0.1667)  6 Tb 2.75
Os (0.6667, 0.3333, 0.8333)  6 Tb 2.75



Run Q
Here is a geometry-optimized LaTb2Os structure from Alexandria via LeMat-Bulk. Energies are from PBE.

Computed properties:
ρ   9.531 g/cm3
M_tot   0.0 μB per formula unit
Density of states at the Fermi level   2.84 states/eV/cell

Unit cell a=3.4382 b=3.4382 c=9.5358 alpha=90.00 beta=90.00 gamma=90.00
With the nearest neighbours (Å) after each atom.
Atoms (fractional coordinates):
La (0.0000, 0.0000, 0.0000)  4 La 3.44
Tb (0.5000, 0.5000, 0.3262)  4 Os 2.94
Tb (0.5000, 0.5000, 0.6738)  4 Os 2.94
Os (0.0000, 0.0000, 0.5000)  8 Tb 2.94



Which of them is least stable? Easy: run P.



Run P
Here is a geometry-optimized LaTcOs structure from Alexandria via LeMat-Bulk. Energies are from PBE.

Computed properties:
ρ   11.278 g/cm3
M_tot   0.0 μB per formula unit
Density of states at the Fermi level   24.56 states/eV/cell

Unit cell a=6.3126 b=6.3126 c=6.3126 alpha=90.00 beta=90.00 gamma=90.00
With the nearest neighbours (Å) after each atom.
Atoms (fractional coordinates):
La (0.0000, 0.0000, 0.0000)  4 Tc 2.73, 4 Os 2.73
La (0.0000, 0.5000, 0.5000)  4 Tc 2.73, 4 Os 2.73
La (0.5000, 0.0000, 0.5000)  4 Tc 2.73, 4 Os 2.73
La (0.5000, 0.5000, 0.0000)  4 Tc 2.73, 4 Os 2.73
Tc (0.2500, 0.2500, 0.7500)  4 La 2.73
Tc (0.2500, 0.7500, 0.2500)  4 La 2.73
Tc (0.7500, 0.2500, 0.2500)  4 La 2.73
Tc (0.7500, 0.7500, 0.7500)  4 La 2.73
Os (0.2500, 0.2500, 0.2500)  4 La 2.73
Os (0.2500, 0.7500, 0.7500)  4 La 2.73
Os (0.7500, 0.2500, 0.7500)  4 La 2.73
Os (0.7500, 0.7500, 0.2500)  4 La 2.73



Run Q
Here is a geometry-optimized LaTcOs structure from Alexandria via LeMat-Bulk. Energies are from PBE.

Computed properties:
ρ   10.547 g/cm3
M_tot   0.0 μB per formula unit
Density of states at the Fermi level   10.92 states/eV/cell

Unit cell a=4.2796 b=13.7643 c=4.5666 alpha=90.00 beta=90.00 gamma=90.00
With the nearest neighbours (Å) after each atom.
Atoms (fractional coordinates):
La (0.0000, 0.0785, 0.2500)  2 La 3.14, 4 Tc 3.17-3.30, 4 Os 3.35
La (0.0000, 0.9215, 0.7500)  2 La 3.14, 4 Tc 3.17-3.30, 4 Os 3.35
La (0.5000, 0.4215, 0.7500)  2 La 3.14, 4 Tc 3.17-3.30, 4 Os 3.35
La (0.5000, 0.5785, 0.2500)  2 La 3.14, 4 Tc 3.17-3.30, 4 Os 3.35
Tc (0.0000, 0.2518, 0.7500)  4 Os 2.45-2.56
Tc (0.0000, 0.7482, 0.2500)  4 Os 2.45-2.56
Tc (0.5000, 0.2482, 0.2500)  4 Os 2.45-2.56
Tc (0.5000, 0.7518, 0.7500)  4 Os 2.45-2.56
Os (0.0000, 0.3354, 0.2500)  4 Tc 2.45-2.56
Os (0.0000, 0.6646, 0.7500)  4 Tc 2.45-2.56
Os (0.5000, 0.1646, 0.7500)  4 Tc 2.45-2.56
Os (0.5000, 0.8354, 0.2500)  4 Tc 2.45-2.56



Which of them is least stable? Easy: run P.



Run P
Here is a geometry-optimized LaTcOs structure from Alexandria via LeMat-Bulk. Energies are from PBE.

Computed properties:
ρ   10.547 g/cm3
M_tot   0.4 μB per formula unit
Density of states at the Fermi level   21.46 states/eV/cell

Unit cell a=6.4553 b=6.4553 c=6.4553 alpha=90.00 beta=90.00 gamma=90.00
With the nearest neighbours (Å) after each atom.
Atoms (fractional coordinates):
La (0.0000, 0.0000, 0.0000)  4 Os 2.80
La (0.0000, 0.5000, 0.5000)  4 Os 2.80
La (0.5000, 0.0000, 0.5000)  4 Os 2.80
La (0.5000, 0.5000, 0.0000)  4 Os 2.80
Tc (0.0000, 0.0000, 0.5000)  4 Os 2.80
Tc (0.0000, 0.5000, 0.0000)  4 Os 2.80
Tc (0.5000, 0.0000, 0.0000)  4 Os 2.80
Tc (0.5000, 0.5000, 0.5000)  4 Os 2.80
Os (0.2500, 0.2500, 0.7500)  4 La 2.80, 4 Tc 2.80
Os (0.2500, 0.7500, 0.2500)  4 La 2.80, 4 Tc 2.80
Os (0.7500, 0.2500, 0.2500)  4 La 2.80, 4 Tc 2.80
Os (0.7500, 0.7500, 0.7500)  4 Tc 2.80, 4 La 2.80



Run Q
Here is a geometry-optimized LaTcOs structure from Alexandria via LeMat-Bulk. Energies are from PBE.

Computed properties:
ρ   12.613 g/cm3
M_tot   0.0 μB per formula unit
Density of states at the Fermi level   2.37 states/eV/cell

Unit cell a=2.8950 b=2.8950 c=7.7477 alpha=90.00 beta=90.00 gamma=120.00
With the nearest neighbours (Å) after each atom.
Atoms (fractional coordinates):
La (0.0000, 0.0000, 0.0000)  6 La 2.89
Tc (0.6667, 0.3333, 0.6255)  3 Os 2.60, 6 Tc 2.89
Os (0.3333, 0.6667, 0.3692)  3 Tc 2.60, 6 Os 2.89



Run R
Here is a geometry-optimized LaTcOs structure from Alexandria via LeMat-Bulk. Energies are from PBE.

Computed properties:
ρ   10.059 g/cm3
M_tot   0.0 μB per formula unit
Density of states at the Fermi level   1.73 states/eV/cell

Unit cell a=4.1300 b=4.1300 c=4.7735 alpha=90.00 beta=90.00 gamma=120.00
With the nearest neighbours (Å) after each atom.
Atoms (fractional coordinates):
La (0.0000, 0.0000, 0.0000)  6 Os 3.23-3.53, 6 Tc 3.26-3.50
Tc (0.3333, 0.6667, 0.5357)  3 Os 2.41
Os (0.6667, 0.3333, 0.4558)  3 Tc 2.41



Which of them is least stable? Easy: run P.